w) ## DyAlCu3 (PBE)

Data for DyAlCu3 after structural relaxation.

Cell lengths 5.0958, 9.2249, 6.3321 Å; angles 136.75, 113.73, 90.00 degrees
With the nearest neighbours (Å) after each atom.
Element x y z (fractional)
Al1 0.5000 0.0000 0.0000  6 Cu 2.45-2.67
Al2 0.0000 0.5000 0.0000  6 Cu 2.45-2.67
Cu1 0.1927 0.6927 0.8855  5 Cu 2.55-2.71, 2 Al 2.67
Cu2 0.6927 0.6927 0.8855  5 Cu 2.55-2.71, 2 Al 2.67
Cu3 0.8073 0.3073 0.1145  5 Cu 2.55-2.71, 2 Al 2.67
Cu4 0.7500 0.0651 0.5000  2 Al 2.45, 4 Cu 2.58
Cu5 0.3073 0.3073 0.1145  5 Cu 2.55-2.71, 2 Al 2.67
Cu6 0.2500 0.9349 0.5000  2 Al 2.45, 4 Cu 2.58
Dy1 0.2500 0.2426 0.5000  7 Cu 2.84-3.03, 4 Al 3.09
Dy2 0.7500 0.7574 0.5000  7 Cu 2.84-3.03, 4 Al 3.09


x) ## DyAlCu3 (PBE)

Data for DyAlCu3 after structural relaxation.

Cell lengths 4.5298, 7.3386, 5.6063 Å; angles 90.00, 90.00, 90.00 degrees
With the nearest neighbours (Å) after each atom.
Element x y z (fractional)
Al1 0.0000 0.5000 0.0000  6 Cu 2.26-2.31
Al2 0.0000 0.0000 0.5000  6 Cu 2.26-2.31
Dy1 0.5000 0.0000 0.0000  2 Cu 2.80
Dy2 0.5000 0.5000 0.5000  2 Cu 2.80
Cu1 0.5000 0.0000 0.5000  2 Al 2.26
Cu2 0.0000 0.7528 0.2450  2 Al 2.31
Cu3 0.0000 0.2528 0.2550  2 Al 2.31
Cu4 0.0000 0.7472 0.7450  2 Al 2.31
Cu5 0.5000 0.5000 0.0000  2 Al 2.26
Cu6 0.0000 0.2472 0.7550  2 Al 2.31


It is w) that is most stable; the runner-up trails by 295 meV/atom.


w) ## DyHoAlCu (PBE)

Data for DyHoAlCu after structural relaxation.

Cell lengths 5.0307, 5.0307, 5.0307 Å; angles 60.00, 60.00, 60.00 degrees
With the nearest neighbours (Å) after each atom.
Element x y z (fractional)
Ho1 0.0000 0.0000 0.0000  4 Al 3.08, 4 Cu 3.08
Al1 0.7500 0.7500 0.7500  4 Dy 3.08, 4 Ho 3.08
Cu1 0.2500 0.2500 0.2500  4 Ho 3.08, 4 Dy 3.08
Dy1 0.5000 0.5000 0.5000  4 Al 3.08, 4 Cu 3.08


x) ## DyHoAlCu (PBE)

Data for DyHoAlCu after structural relaxation.

Cell lengths 3.4613, 3.4613, 7.3641 Å; angles 90.00, 90.00, 90.00 degrees
With the nearest neighbours (Å) after each atom.
Element x y z (fractional)
Dy1 0.0000 0.0000 0.8435  4 Cu 3.02, 4 Al 3.13
Ho1 0.0000 0.0000 0.3725  4 Cu 2.98, 4 Al 3.12
Cu1 0.5000 0.5000 0.6027  4 Ho 2.98, 4 Dy 3.02
Al1 0.5000 0.5000 0.1093  4 Ho 3.12, 4 Dy 3.13, 4 Al 3.46


It is x) that is most stable; the runner-up trails by 38 meV/atom.


w) ## TbDyAlCu (PBE)

Data for TbDyAlCu after structural relaxation.

Cell lengths 3.4779, 3.4779, 7.3983 Å; angles 90.00, 90.00, 90.00 degrees
With the nearest neighbours (Å) after each atom.
Element x y z (fractional)
Dy1 0.0000 0.0000 0.8419  4 Cu 2.99, 4 Al 3.14
Tb1 0.0000 0.0000 0.3703  4 Cu 3.04, 4 Al 3.15
Cu1 0.5000 0.5000 0.6110  4 Dy 2.99, 4 Tb 3.04
Al1 0.5000 0.5000 0.1048  4 Dy 3.14, 4 Tb 3.15, 4 Al 3.48


x) ## TbDyAlCu (PBE)

Data for TbDyAlCu after structural relaxation.

Cell lengths 5.0541, 5.0541, 5.0541 Å; angles 60.00, 60.00, 60.00 degrees
With the nearest neighbours (Å) after each atom.
Element x y z (fractional)
Tb1 0.5000 0.5000 0.5000  4 Al 3.10, 4 Cu 3.10
Al1 0.7500 0.7500 0.7500  4 Dy 3.10, 4 Tb 3.10
Cu1 0.2500 0.2500 0.2500  4 Tb 3.10, 4 Dy 3.10
Dy1 0.0000 0.0000 0.0000  4 Cu 3.10, 4 Al 3.10


It is w) that is most stable; the runner-up trails by 39 meV/atom.


w) ## DyTmAlCu (PBE)

Data for DyTmAlCu after structural relaxation.

Cell lengths 3.4470, 3.4470, 7.3277 Å; angles 90.00, 90.00, 90.00 degrees
With the nearest neighbours (Å) after each atom.
Element x y z (fractional)
Al1 0.5000 0.5000 0.1009  4 Tm 3.10, 4 Dy 3.13, 4 Al 3.45
Dy1 0.0000 0.0000 0.3692  4 Cu 3.04, 4 Al 3.13
Tm1 0.0000 0.0000 0.8398  4 Cu 2.93, 4 Al 3.10
Cu1 0.5000 0.5000 0.6181  4 Tm 2.93, 4 Dy 3.04


x) ## DyTmAlCu (PBE)

Data for DyTmAlCu after structural relaxation.

Cell lengths 5.0068, 5.0068, 5.0068 Å; angles 60.00, 60.00, 60.00 degrees
With the nearest neighbours (Å) after each atom.
Element x y z (fractional)
Cu1 0.2500 0.2500 0.2500  4 Tm 3.07, 4 Dy 3.07
Al1 0.7500 0.7500 0.7500  4 Dy 3.07, 4 Tm 3.07
Dy1 0.0000 0.0000 0.0000  4 Cu 3.07, 4 Al 3.07
Tm1 0.5000 0.5000 0.5000  4 Cu 3.07, 4 Al 3.07


It is w) that is most stable; the runner-up trails by 38 meV/atom.


w) ## DyYAlCu (PBE)

Data for DyYAlCu after structural relaxation.

Cell lengths 5.0498, 5.0498, 5.0498 Å; angles 60.00, 60.00, 60.00 degrees
With the nearest neighbours (Å) after each atom.
Element x y z (fractional)
Dy1 0.2500 0.2500 0.2500  4 Al 3.09, 4 Cu 3.09
Al1 0.5000 0.5000 0.5000  4 Y 3.09, 4 Dy 3.09
Y1 0.7500 0.7500 0.7500  4 Cu 3.09, 4 Al 3.09
Cu1 0.0000 0.0000 0.0000  4 Dy 3.09, 4 Y 3.09


x) ## DyYAlCu (PBE)

Data for DyYAlCu after structural relaxation.

Cell lengths 3.4779, 3.4779, 7.3843 Å; angles 90.00, 90.00, 90.00 degrees
With the nearest neighbours (Å) after each atom.
Element x y z (fractional)
Dy1 0.0000 0.0000 0.3722  4 Cu 2.99, 4 Al 3.14
Al1 0.5000 0.5000 0.1083  4 Dy 3.14, 4 Y 3.14, 4 Al 3.48
Y1 0.0000 0.0000 0.8442  4 Cu 3.04, 4 Al 3.14
Cu1 0.5000 0.5000 0.6032  4 Dy 2.99, 4 Y 3.04


It is x) that is most stable; the runner-up trails by 33 meV/atom.


w) ## Er4AlCu2 (PBE)

Data for Er4AlCu2 after structural relaxation.

Cell lengths 4.8943, 4.8943, 8.3244 Å; angles 72.90, 72.90, 60.00 degrees
With the nearest neighbours (Å) after each atom.
Element x y z (fractional)
Al1 0.0000 0.0000 0.0000  8 Er 3.04-3.06, 6 Cu 3.35
Er1 0.6171 0.6171 0.1487  4 Cu 2.90-2.96, 3 Al 3.06
Er2 0.8704 0.8704 0.3887  4 Cu 2.99-3.09, 1 Al 3.04, 3 Er 3.32
Er3 0.1296 0.1296 0.6113  4 Cu 2.99-3.09, 1 Al 3.04, 3 Er 3.32
Er4 0.3829 0.3829 0.8513  4 Cu 2.90-2.96, 3 Al 3.06
Cu1 0.2567 0.2567 0.2299  8 Er 2.90-3.09
Cu2 0.7433 0.7433 0.7701  8 Er 2.90-3.09


x) ## Er4AlCu2 (PBE)

Data for Er4AlCu2 after structural relaxation.

Cell lengths 4.8604, 4.8604, 8.8457 Å; angles 74.05, 74.05, 60.00 degrees
With the nearest neighbours (Å) after each atom.
Element x y z (fractional)
Er1 0.8791 0.8791 0.3628  3 Al 3.03, 3 Cu 3.07
Er2 0.2921 0.2921 0.1237  4 Cu 2.82-2.90
Er3 0.1209 0.1209 0.6372  3 Al 3.03, 3 Cu 3.07
Er4 0.7079 0.7079 0.8763  4 Cu 2.82-2.90
Cu1 0.5956 0.5956 0.2131  1 Al 2.41
Cu2 0.4044 0.4044 0.7869  1 Al 2.41
Al1 0.5000 0.5000 0.5000  2 Cu 2.41


It is w) that is most stable; the runner-up trails by 77 meV/atom.


w) ## ErAl4Cu2 (PBE)

Data for ErAl4Cu2 after structural relaxation.

Cell lengths 3.9301, 4.0189, 7.7493 Å; angles 105.03, 90.00, 90.00 degrees
With the nearest neighbours (Å) after each atom.
Element x y z (fractional)
Er1 0.0000 0.0000 0.0000  8 Cu 3.06, 8 Al 3.32-3.39
Al1 0.0000 0.3178 0.6356  2 Cu 2.49
Al2 0.5000 0.8213 0.6425  2 Cu 2.49
Al3 0.5000 0.1787 0.3575  2 Cu 2.49
Al4 0.0000 0.6822 0.3644  2 Cu 2.49
Cu1 0.5000 0.5802 0.1605  1 Cu 2.40, 4 Al 2.49
Cu2 0.5000 0.4198 0.8395  1 Cu 2.40, 4 Al 2.49


x) ## ErAl4Cu2 (PBE)

Data for ErAl4Cu2 after structural relaxation.

Cell lengths 4.1613, 6.6001, 16.8180 Å; angles 90.00, 90.00, 90.00 degrees
With the nearest neighbours (Å) after each atom.
Element x y z (fractional)
Al1 0.2500 0.6758 0.6864  4 Cu 2.52-2.54, 1 Al 2.64
Al2 0.2500 0.2766 0.6925  3 Cu 2.49-2.50, 1 Al 2.64
Al3 0.2500 0.2234 0.1925  3 Cu 2.49-2.50, 1 Al 2.64
Al4 0.7500 0.3242 0.3136  4 Cu 2.52-2.54, 1 Al 2.64
Al5 0.7500 0.7766 0.8075  3 Cu 2.49-2.50, 1 Al 2.64
Al6 0.2500 0.8242 0.1864  4 Cu 2.52-2.54, 1 Al 2.64
Al7 0.7500 0.9925 0.0710  4 Cu 2.51-2.69
Al8 0.2500 0.1564 0.5320  3 Cu 2.48-2.66
Al9 0.7500 0.7234 0.3075  3 Cu 2.49-2.50, 1 Al 2.64
Al10 0.2500 0.0075 0.9290  4 Cu 2.51-2.69
Al11 0.7500 0.6564 0.9680  3 Cu 2.48-2.66
Al12 0.7500 0.5075 0.5710  4 Cu 2.51-2.69
Al13 0.2500 0.4925 0.4290  4 Cu 2.51-2.69
Al14 0.7500 0.1758 0.8136  4 Cu 2.52-2.54, 1 Al 2.64
Al15 0.2500 0.3436 0.0320  3 Cu 2.48-2.66
Al16 0.7500 0.8436 0.4680  3 Cu 2.48-2.66
Er1 0.2500 0.4862 0.8605  9 Al 2.97-3.18, 4 Cu 3.09-3.16
Er2 0.2500 0.0138 0.3605  9 Al 2.97-3.18, 4 Cu 3.09-3.16
Er3 0.7500 0.9862 0.6395  9 Al 2.97-3.18, 4 Cu 3.09-3.16
Er4 0.7500 0.5138 0.1395  9 Al 2.97-3.18, 4 Cu 3.09-3.16
Cu1 0.7500 0.2533 0.9606  7 Al 2.48-2.69
Cu2 0.7500 0.0276 0.2193  7 Al 2.49-2.54
Cu3 0.2500 0.9724 0.7807  7 Al 2.49-2.54
Cu4 0.2500 0.5276 0.2807  7 Al 2.49-2.54
Cu5 0.2500 0.7467 0.0394  7 Al 2.48-2.69
Cu6 0.7500 0.2467 0.4606  7 Al 2.48-2.69
Cu7 0.7500 0.4724 0.7193  7 Al 2.49-2.54
Cu8 0.2500 0.7533 0.5394  7 Al 2.48-2.69


It is x) that is most stable; the runner-up trails by 70 meV/atom.


w) ## ErAl3Cu (PBE)

Data for ErAl3Cu after structural relaxation.

Cell lengths 4.0520, 8.2286, 10.6928 Å; angles 90.00, 90.00, 90.00 degrees
With the nearest neighbours (Å) after each atom.
Element x y z (fractional)
Cu1 0.7500 0.8889 0.3620  7 Al 2.42-2.57
Cu2 0.2500 0.1111 0.6380  7 Al 2.42-2.57
Cu3 0.7500 0.3889 0.1380  7 Al 2.42-2.57
Cu4 0.2500 0.6111 0.8620  7 Al 2.42-2.57
Al1 0.2500 0.3563 0.2843  2 Cu 2.57, 2 Al 2.68-2.78
Al2 0.7500 0.9386 0.5895  3 Cu 2.47-2.53, 1 Al 2.68
Al3 0.7500 0.1437 0.7843  2 Cu 2.57, 2 Al 2.68-2.78
Al4 0.2500 0.0614 0.4105  3 Cu 2.47-2.53, 1 Al 2.68
Al5 0.7500 0.1093 0.2120  2 Cu 2.42-2.43
Al6 0.2500 0.8907 0.7880  2 Cu 2.42-2.43
Al7 0.2500 0.8563 0.2157  2 Cu 2.57, 2 Al 2.68-2.78
Al8 0.2500 0.3907 0.7120  2 Cu 2.42-2.43
Al9 0.7500 0.4386 0.9105  3 Cu 2.47-2.53, 1 Al 2.68
Al10 0.7500 0.6093 0.2880  2 Cu 2.42-2.43
Al11 0.2500 0.5614 0.0895  3 Cu 2.47-2.53, 1 Al 2.68
Al12 0.7500 0.6437 0.7157  2 Cu 2.57, 2 Al 2.68-2.78
Er1 0.2500 0.1782 0.9974  2 Cu 3.06, 9 Al 3.06-3.40
Er2 0.7500 0.8218 0.0026  2 Cu 3.06, 9 Al 3.06-3.40
Er3 0.7500 0.3218 0.4974  2 Cu 3.06, 9 Al 3.06-3.40
Er4 0.2500 0.6782 0.5026  2 Cu 3.06, 9 Al 3.06-3.40


x) ## ErAl3Cu (PBE)

Data for ErAl3Cu after structural relaxation.

Cell lengths 4.0980, 4.0977, 6.1240 Å; angles 70.39, 70.38, 89.97 degrees
With the nearest neighbours (Å) after each atom.
Element x y z (fractional)
Cu1 0.0185 0.8222 0.6675  5 Al 2.34-2.45
Al1 0.8023 0.6057 0.1011  1 Cu 2.34
Al2 0.6440 0.9470 0.4175  2 Cu 2.45, 2 Al 2.67
Al3 0.1436 0.4476 0.4175  2 Cu 2.45, 2 Al 2.67
Er1 0.3993 0.2027 0.9076  12 Al 3.08-3.43, 4 Cu 3.17-3.18


It is x) that is most stable; the runner-up trails by 14 meV/atom.


w) ## ErAl2Cu3 (PBE)

Data for ErAl2Cu3 after structural relaxation.

Cell lengths 4.2286, 4.2286, 12.2779 Å; angles 90.00, 90.00, 120.00 degrees
With the nearest neighbours (Å) after each atom.
Element x y z (fractional)
Al1 0.3333 0.6667 0.9249  7 Cu 2.54-2.61
Al2 0.6667 0.3333 0.0751  7 Cu 2.54-2.61
Al3 0.3333 0.6667 0.5751  7 Cu 2.54-2.61
Al4 0.6667 0.3333 0.4249  7 Cu 2.54-2.61
Cu1 0.3333 0.6667 0.3667  4 Al 2.54-2.56, 3 Er 2.83
Cu2 0.3333 0.6667 0.1333  4 Al 2.54-2.56, 3 Er 2.83
Cu3 0.6667 0.3333 0.8667  4 Al 2.54-2.56, 3 Er 2.83
Cu4 0.0000 0.0000 0.5000  6 Al 2.61
Cu5 0.0000 0.0000 0.0000  6 Al 2.61
Cu6 0.6667 0.3333 0.6333  4 Al 2.54-2.56, 3 Er 2.83
Er1 0.0000 0.0000 0.2500  8 Cu 2.83-3.07
Er2 0.0000 0.0000 0.7500  8 Cu 2.83-3.07


x) ## ErAl2Cu3 (PBE)

Data for ErAl2Cu3 after structural relaxation.

Cell lengths 5.2808, 5.2808, 7.9158 Å; angles 90.00, 90.00, 120.00 degrees
With the nearest neighbours (Å) after each atom.
Element x y z (fractional)
Cu1 0.0000 0.5002 0.2500  4 Al 2.50, 4 Cu 2.64
Cu2 0.0000 0.4998 0.7500  4 Al 2.50, 4 Cu 2.64
Cu3 0.5002 0.5002 0.7500  4 Al 2.50, 4 Cu 2.64
Cu4 0.4998 0.0000 0.7500  4 Al 2.50, 4 Cu 2.64
Cu5 0.5002 0.0000 0.2500  4 Al 2.50, 4 Cu 2.64
Cu6 0.4998 0.4998 0.2500  4 Al 2.50, 4 Cu 2.64
Al1 0.3333 0.6667 0.0000  6 Cu 2.50
Al2 0.6667 0.3333 0.5000  6 Cu 2.50
Al3 0.3333 0.6667 0.5000  6 Cu 2.50
Al4 0.6667 0.3333 0.0000  6 Cu 2.50
Er1 0.0000 0.0000 0.5000  6 Al 3.05, 12 Cu 3.30
Er2 0.0000 0.0000 0.0000  6 Al 3.05, 12 Cu 3.30


It is w) that is most stable; the runner-up trails by 8 meV/atom.


w) ## Er4AlCu3 (PBE)

Data for Er4AlCu3 after structural relaxation.

Cell lengths 3.6176, 4.4626, 10.7490 Å; angles 90.00, 90.00, 90.00 degrees
With the nearest neighbours (Å) after each atom.
Element x y z (fractional)
Er1 0.0000 0.0000 0.1556  3 Cu 2.98-3.04, 4 Al 3.02
Er2 0.0000 0.5000 0.8411  5 Cu 2.91-3.02, 2 Al 3.04
Er3 0.5000 0.5000 0.3650  6 Cu 2.85-2.96, 1 Al 3.19
Er4 0.5000 0.0000 0.6383  7 Cu 2.86-3.12
Cu1 0.0000 0.0000 0.4324  2 Cu 2.68, 7 Er 2.86-2.98
Cu2 0.0000 0.5000 0.5703  2 Cu 2.68, 7 Er 2.85-2.96
Cu3 0.5000 0.0000 0.9287  2 Al 2.69
Al1 0.5000 0.5000 0.0685  2 Cu 2.69


x) ## Er4AlCu3 (PBE)

Data for Er4AlCu3 after structural relaxation.

Cell lengths 3.4579, 4.9419, 9.8294 Å; angles 90.00, 90.00, 90.00 degrees
With the nearest neighbours (Å) after each atom.
Element x y z (fractional)
Er1 0.0000 0.5000 0.2586  6 Cu 2.94-3.02, 2 Al 3.07
Er2 0.0000 0.0000 0.5000  8 Cu 3.02-3.06
Er3 0.0000 0.5000 0.7414  6 Cu 2.94-3.02, 2 Al 3.07
Er4 0.0000 0.0000 0.0000  4 Cu 2.95, 4 Al 3.02
Cu1 0.5000 0.0000 0.7571  8 Er 2.95-3.06
Cu2 0.5000 0.0000 0.2429  8 Er 2.95-3.06
Cu3 0.5000 0.5000 0.5000  8 Er 2.94-3.02
Al1 0.5000 0.5000 0.0000  8 Er 3.02-3.07


It is x) that is most stable; the runner-up trails by 17 meV/atom.


w) ## HoErAlCu (PBE)

Data for HoErAlCu after structural relaxation.

Cell lengths 3.4475, 3.4475, 7.3273 Å; angles 90.00, 90.00, 90.00 degrees
With the nearest neighbours (Å) after each atom.
Element x y z (fractional)
Er1 0.0000 0.0000 0.8413  4 Cu 2.97, 4 Al 3.11
Al1 0.5000 0.5000 0.1049  4 Er 3.11, 4 Ho 3.12, 4 Al 3.45
Cu1 0.5000 0.5000 0.6108  4 Er 2.97, 4 Ho 3.01
Ho1 0.0000 0.0000 0.3709  4 Cu 3.01, 4 Al 3.12


x) ## HoErAlCu (PBE)

Data for HoErAlCu after structural relaxation.

Cell lengths 5.0074, 5.0074, 5.0074 Å; angles 60.00, 60.00, 60.00 degrees
With the nearest neighbours (Å) after each atom.
Element x y z (fractional)
Cu1 0.2500 0.2500 0.2500  4 Ho 3.07, 4 Er 3.07
Al1 0.7500 0.7500 0.7500  4 Ho 3.07, 4 Er 3.07
Er1 0.5000 0.5000 0.5000  4 Al 3.07, 4 Cu 3.07
Ho1 0.0000 0.0000 0.0000  4 Al 3.07, 4 Cu 3.07


It is w) that is most stable; the runner-up trails by 37 meV/atom.


w) ## ErScAlCu (PBE)

Data for ErScAlCu after structural relaxation.

Cell lengths 3.3630, 3.3630, 7.0663 Å; angles 90.00, 90.00, 90.00 degrees
With the nearest neighbours (Å) after each atom.
Element x y z (fractional)
Cu1 0.5000 0.5000 0.5800  4 Sc 2.78, 4 Er 3.02
Er1 0.0000 0.0000 0.8444  4 Cu 3.02, 4 Al 3.11, 1 Sc 3.31, 4 Er 3.36
Sc1 0.0000 0.0000 0.3755  4 Cu 2.78, 4 Al 2.95
Al1 0.5000 0.5000 0.1281  4 Sc 2.95, 4 Er 3.11, 1 Cu 3.19


x) ## ErScAlCu (PBE)

Data for ErScAlCu after structural relaxation.

Cell lengths 4.8664, 4.8664, 4.8664 Å; angles 60.00, 60.00, 60.00 degrees
With the nearest neighbours (Å) after each atom.
Element x y z (fractional)
Er1 0.0000 0.0000 0.0000  4 Cu 2.98, 4 Al 2.98
Al1 0.7500 0.7500 0.7500  4 Er 2.98, 4 Sc 2.98
Cu1 0.2500 0.2500 0.2500  4 Er 2.98, 4 Sc 2.98
Sc1 0.5000 0.5000 0.5000  4 Cu 2.98, 4 Al 2.98


It is w) that is most stable; the runner-up trails by 44 meV/atom.